[1]
The following is a DFT calculation (PBE) of a geometry-optimized TaZnCl6 structure.

a b c (Å): 6.2902 6.2901 6.7118
angles (deg): 62.06 62.06 60.00
Closest atoms and distances in Å follow each position.
Sites, in units of the cell vectors:
Cl1 0.6109 0.2346 0.2454  1 Ta 2.40, 1 Zn 2.57
Cl2 0.3891 0.7654 0.7546  1 Ta 2.40, 1 Zn 2.57
Cl3 0.0908 0.3891 0.7546  1 Ta 2.40, 1 Zn 2.57
Cl4 0.9092 0.6109 0.2454  1 Ta 2.40, 1 Zn 2.57
Cl5 0.7654 0.0909 0.7546  1 Ta 2.40, 1 Zn 2.57
Cl6 0.2346 0.9091 0.2454  1 Ta 2.40, 1 Zn 2.57
Ta1 0.0000 0.0000 0.0000  6 Cl 2.40
Zn1 0.5000 0.5000 0.5000  6 Cl 2.57

Calculated volume = 193.4 Å³ per cell
Uncorrected formation energy = -8.74 eV/f.u.



[2]
The following is a DFT calculation (PBE) of a geometry-optimized La3ScIr2 structure.

a b c (Å): 4.7590 4.5538 7.9593
angles (deg): 106.59 107.39 90.00
Closest atoms and distances in Å follow each position.
Sites, in units of the cell vectors:
La1 0.5000 0.5000 0.0000  4 Ir 2.92
La2 0.8117 0.3111 0.6233  1 Ir 2.69
La3 0.1883 0.6889 0.3767  1 Ir 2.69
Sc1 0.0000 0.0000 0.0000  4 Ir 3.00, 4 La 3.29
Ir1 0.6258 0.1256 0.2516  3 La 2.69-2.92, 2 Sc 3.00
Ir2 0.3742 0.8744 0.7484  3 La 2.69-2.92, 2 Sc 3.00

Calculated volume = 157.1 Å³ per cell
Formation enthalpy at 0 K = -0.5611 eV/atom



[3]
The following is a DFT calculation (PBE) of a geometry-optimized Pm13Pb2 structure.

a b c (Å): 7.6605 8.3015 8.7899
angles (deg): 111.19 71.88 96.43
Closest atoms and distances in Å follow each position.
Sites, in units of the cell vectors:
Pb1 0.9358 0.7697 0.6089  9 Pm 3.35-3.64
Pb2 0.0642 0.2303 0.3911  9 Pm 3.35-3.64
Pm1 0.6365 0.4137 0.6038  7 Pm 3.40-3.77, 2 Pb 3.44-3.53
Pm2 0.3291 0.3404 0.9804  11 Pm 3.45-3.86
Pm3 0.7868 0.2175 0.8334  10 Pm 3.47-3.79, 2 Pb 3.64-3.84
Pm4 0.1210 0.5252 0.7671  8 Pm 3.40-3.79, 2 Pb 3.45-3.46
Pm5 0.2132 0.7825 0.1666  10 Pm 3.47-3.79, 2 Pb 3.64-3.84
Pm6 0.6709 0.6596 0.0196  11 Pm 3.45-3.86
Pm7 0.0000 0.0000 0.0000  2 Pb 3.44, 10 Pm 3.48-3.79
Pm8 0.3635 0.5863 0.3962  7 Pm 3.40-3.77, 2 Pb 3.44-3.53
Pm9 0.7314 0.9286 0.4045  2 Pb 3.37, 8 Pm 3.45-3.77
Pm10 0.4880 0.8653 0.7942  1 Pb 3.35, 9 Pm 3.49-3.75
Pm11 0.5120 0.1347 0.2058  1 Pb 3.35, 9 Pm 3.49-3.75
Pm12 0.2686 0.0714 0.5955  2 Pb 3.37, 8 Pm 3.45-3.77
Pm13 0.8790 0.4748 0.2329  8 Pm 3.40-3.79, 2 Pb 3.45-3.46

Calculated volume = 495.3 Å³ per cell
Formation enthalpy at 0 K = -0.1208 eV/atom



[4]
The following is a DFT calculation (PBE) of a geometry-optimized KBSe2O8 structure.

a b c (Å): 4.9054 6.3884 7.1184
angles (deg): 73.15 69.85 67.42
Closest atoms and distances in Å follow each position.
Sites, in units of the cell vectors:
Se1 0.3207 0.2252 0.1335  4 O 1.63-1.75
Se2 0.6793 0.7748 0.8665  4 O 1.63-1.75
O1 0.8864 0.9580 0.8367  1 B 1.57, 1 Se 1.75
O2 0.3189 0.9580 0.8367  1 B 1.57, 1 Se 1.75
O3 0.8382 0.6633 0.6603  1 Se 1.63
O4 0.3450 0.3973 0.9127  1 Se 1.63
O5 0.6811 0.0420 0.1633  1 B 1.57, 1 Se 1.75
O6 0.6550 0.6027 0.0873  1 Se 1.63
O7 0.1618 0.3367 0.3397  1 Se 1.63
O8 0.1136 0.0420 0.1633  1 B 1.57, 1 Se 1.75
K1 0.5000 0.5000 0.5000  6 O 2.71-2.91
B1 0.0000 0.0000 0.0000  4 O 1.57

Calculated volume = 190.1 Å³ per cell
Uncorrected formation energy = -10.16 eV/f.u.



[5]
The following is a DFT calculation (PBE) of a geometry-optimized TlCoCu2 structure.

a b c (Å): 8.4010 8.4010 8.4010
angles (deg): 20.25 20.25 20.25
Closest atoms and distances in Å follow each position.
Sites, in units of the cell vectors:
Cu1 0.0013 0.0013 0.0013  3 Co 2.49, 3 Cu 2.51
Cu2 0.2598 0.2598 0.2598  3 Cu 2.51
Co1 0.7416 0.7416 0.7416  3 Cu 2.49, 3 Tl 2.78
Tl1 0.4973 0.4973 0.4973  3 Co 2.78, 3 Cu 2.92, 6 Tl 2.95

Calculated volume = 62.1 Å³ per cell
Formation enthalpy at 0 K = 0.5640 eV/atom



[6]
The following is a DFT calculation (PBE) of a geometry-optimized Ag14Te9As2 structure.

a b c (Å): 8.4078 8.2501 11.9790
angles (deg): 89.59 101.14 124.89
Closest atoms and distances in Å follow each position.
Sites, in units of the cell vectors:
Ag1 0.6401 0.0042 0.9236  1 As 2.81, 4 Te 2.85-3.07, 1 Ag 3.11
Ag2 0.5884 0.9457 0.4255  4 Te 2.88-3.03, 4 Ag 2.88-3.12
Ag3 0.9418 0.9308 0.2910  3 Te 2.81-3.11, 3 Ag 2.93-3.14
Ag4 0.2926 0.2958 0.4694  3 Te 2.75-2.87, 1 Ag 2.88
Ag5 0.3341 0.3066 0.9276  4 Te 2.80-2.93, 2 Ag 2.93-3.00
Ag6 0.7074 0.7042 0.5306  3 Te 2.75-2.87, 1 Ag 2.88
Ag7 0.0582 0.0692 0.7090  3 Te 2.81-3.11, 3 Ag 2.93-3.14
Ag8 0.6659 0.6934 0.0724  4 Te 2.80-2.93, 2 Ag 2.93-3.00
Ag9 0.0362 0.7621 0.8504  1 As 2.75, 3 Te 2.85-2.99, 1 Ag 2.97
Ag10 0.9638 0.2379 0.1496  1 As 2.75, 3 Te 2.85-2.99, 1 Ag 2.97
Ag11 0.1261 0.6967 0.3854  3 Te 2.74-3.02
Ag12 0.8739 0.3033 0.6146  3 Te 2.74-3.02
Ag13 0.4116 0.0543 0.5745  4 Te 2.88-3.03, 4 Ag 2.88-3.12
Ag14 0.3599 0.9958 0.0764  1 As 2.81, 4 Te 2.85-3.07, 1 Ag 3.11
Te1 0.5433 0.6181 0.2895  1 As 2.72, 4 Ag 2.82-2.96
Te2 0.2944 0.6322 0.9513  1 As 2.72, 4 Ag 2.85-2.99
Te3 0.0344 0.7028 0.6162  5 Ag 2.75-3.02
Te4 0.9656 0.2972 0.3838  5 Ag 2.75-3.02
Te5 0.4567 0.3819 0.7105  1 As 2.72, 4 Ag 2.82-2.96
Te6 0.7056 0.3678 0.0487  1 As 2.72, 4 Ag 2.85-2.99
Te7 0.0000 0.0000 0.0000  6 Ag 2.80-3.01
Te8 0.6586 0.9328 0.6825  6 Ag 2.74-3.03
Te9 0.3414 0.0672 0.3175  6 Ag 2.74-3.03
As1 0.7507 0.3584 0.8301  2 Te 2.72, 2 Ag 2.75-2.81
As2 0.2493 0.6416 0.1699  2 Te 2.72, 2 Ag 2.75-2.81

Calculated volume = 663.2 Å³ per cell
Uncorrected formation energy = 0.82 eV/f.u.



[7]
The following is a DFT calculation (PBE) of a geometry-optimized Pm2AlZn7 structure.

a b c (Å): 4.2056 4.2056 10.7371
angles (deg): 90.00 90.00 90.00
Closest atoms and distances in Å follow each position.
Sites, in units of the cell vectors:
Al1 0.5000 0.5000 0.0000  4 Zn 2.57
Zn1 0.0000 0.5000 0.6340  5 Zn 2.46-2.55
Zn2 0.5000 0.0000 0.3660  5 Zn 2.46-2.55
Zn3 0.0000 0.5000 0.8627  3 Zn 2.46-2.57, 2 Al 2.57
Zn4 0.5000 0.5000 0.5000  4 Zn 2.55
Zn5 0.0000 0.0000 0.0000  4 Zn 2.57
Zn6 0.5000 0.0000 0.1373  3 Zn 2.46-2.57, 2 Al 2.57
Zn7 0.0000 0.0000 0.5000  4 Zn 2.55
Pm1 0.0000 0.5000 0.2512  14 Zn 3.22-3.42, 2 Al 3.42
Pm2 0.5000 0.0000 0.7488  14 Zn 3.22-3.42, 2 Al 3.42

Calculated volume = 189.9 Å³ per cell
Formation enthalpy at 0 K = -0.3439 eV/atom



[8]
The following is a DFT calculation (PBE) of a geometry-optimized Er3Tm8Th2 structure.

a b c (Å): 12.7991 8.5935 19.3894
angles (deg): 109.41 75.31 155.99
Closest atoms and distances in Å follow each position.
Sites, in units of the cell vectors:
Tm1 0.3801 0.4265 0.3880  7 Tm 3.40-3.60, 2 Th 3.43-3.54, 3 Er 3.46-3.51
Tm2 0.8852 0.6551 0.2400  4 Er 3.42-3.52, 6 Tm 3.45-3.68, 2 Th 3.46-3.54
Tm3 0.1273 0.8088 0.4631  3 Er 3.42-3.60, 2 Th 3.44-3.52, 7 Tm 3.44-3.59
Tm4 0.6199 0.5735 0.6120  7 Tm 3.40-3.60, 2 Th 3.43-3.54, 3 Er 3.46-3.51
Tm5 0.2431 0.3753 0.5757  9 Tm 3.40-3.60, 1 Th 3.42, 2 Er 3.51-3.53
Tm6 0.6413 0.0513 0.3153  5 Tm 3.33-3.50, 4 Er 3.38-3.62, 2 Th 3.45-3.52
Tm7 0.0732 0.7823 0.0623  5 Tm 3.28-3.56, 2 Er 3.33-3.37, 3 Th 3.43-3.55
Tm8 0.8727 0.1912 0.5369  3 Er 3.42-3.60, 2 Th 3.44-3.52, 7 Tm 3.44-3.59
Tm9 0.7426 0.0350 0.1143  6 Tm 3.42-3.78, 2 Th 3.51-3.66, 3 Er 3.53-3.70
Tm10 0.3587 0.9487 0.6847  5 Tm 3.33-3.50, 4 Er 3.38-3.62, 2 Th 3.45-3.52
Tm11 0.9268 0.2177 0.9377  5 Tm 3.28-3.56, 2 Er 3.33-3.37, 3 Th 3.43-3.55
Tm12 0.2574 0.9650 0.8857  6 Tm 3.42-3.78, 2 Th 3.51-3.66, 3 Er 3.53-3.70
Tm13 0.1148 0.3449 0.7600  4 Er 3.42-3.52, 6 Tm 3.45-3.68, 2 Th 3.46-3.54
Tm14 0.1559 0.3111 0.1780  4 Er 3.26-3.60, 4 Tm 3.33-3.53, 1 Th 3.40
Tm15 0.8441 0.6889 0.8220  4 Er 3.26-3.60, 4 Tm 3.33-3.53, 1 Th 3.40
Tm16 0.7569 0.6247 0.4243  9 Tm 3.40-3.60, 1 Th 3.42, 2 Er 3.51-3.53
Er1 0.5000 0.0000 0.5000  10 Tm 3.42-3.55, 2 Th 3.45
Er2 0.0000 0.0000 0.0000  4 Tm 3.26-3.33, 2 Th 3.61
Er3 0.7437 0.1553 0.7254  9 Tm 3.31-3.70, 1 Er 3.43, 2 Th 3.48-3.67
Er4 0.4654 0.5005 0.7906  8 Tm 3.36-3.60, 2 Th 3.38-3.53, 1 Er 3.43
Er5 0.5346 0.4995 0.2094  8 Tm 3.36-3.60, 2 Th 3.38-3.53, 1 Er 3.43
Er6 0.2563 0.8447 0.2746  9 Tm 3.31-3.70, 1 Er 3.43, 2 Th 3.48-3.67
Th1 0.0116 0.2441 0.3538  3 Er 3.38-3.48, 9 Tm 3.40-3.54
Th2 0.5745 0.0581 0.9139  1 Th 3.36, 7 Tm 3.43-3.69, 3 Er 3.53-3.67
Th3 0.4255 0.9419 0.0861  1 Th 3.36, 7 Tm 3.43-3.69, 3 Er 3.53-3.67
Th4 0.9884 0.7559 0.6462  3 Er 3.38-3.48, 9 Tm 3.40-3.54

Calculated volume = 811.5 Å³ per cell
Formation enthalpy at 0 K = 0.1130 eV/atom



[9]
The following is a DFT calculation (PBE) of a geometry-optimized Li2ScCrAs structure.

a b c (Å): 4.8914 4.8935 4.8914
angles (deg): 90.00 90.00 90.00
Closest atoms and distances in Å follow each position.
Sites, in units of the cell vectors:
Li1 0.0000 0.0000 0.5000  2 Sc 2.45
Li2 0.5000 0.0000 0.0000  2 Sc 2.45
Cr1 0.5000 0.5000 0.5000  4 As 3.46, 8 Li 3.46
As1 0.0000 0.5000 0.0000  2 Sc 2.45
Sc1 0.0000 0.0000 0.0000  4 Li 2.45, 2 As 2.45

Calculated volume = 117.1 Å³ per cell
Formation enthalpy at 0 K = 1.2313 eV/atom



[10]
The following is a DFT calculation (PBE) of a geometry-optimized Mg2AlIrCl structure.

a b c (Å): 4.5813 4.7542 4.5813
angles (deg): 90.00 90.00 90.00
Closest atoms and distances in Å follow each position.
Sites, in units of the cell vectors:
Mg1 0.0000 0.0000 0.5000  2 Cl 2.29
Mg2 0.5000 0.0000 0.0000  2 Cl 2.29
Ir1 0.0000 0.5000 0.0000  2 Cl 2.38
Cl1 0.0000 0.0000 0.0000  4 Mg 2.29, 2 Ir 2.38
Al1 0.5000 0.5000 0.5000  4 Ir 3.24, 8 Mg 3.30

Calculated volume = 99.8 Å³ per cell
Uncorrected formation energy = 2.30 eV/f.u.



[11]
The following is a DFT calculation (PBE) of a geometry-optimized SrPt3N structure.

a b c (Å): 5.3950 5.3950 5.3950
angles (deg): 90.00 90.00 90.00
Closest atoms and distances in Å follow each position.
Sites, in units of the cell vectors:
N1 0.5000 0.5000 0.5000  12 Pt 3.81
Sr1 0.0000 0.0000 0.0000  6 Pt 2.70
Pt1 0.5000 0.0000 0.0000  2 Sr 2.70
Pt2 0.0000 0.0000 0.5000  2 Sr 2.70
Pt3 0.0000 0.5000 0.0000  2 Sr 2.70

Calculated volume = 157.0 Å³ per cell
Uncorrected formation energy = 12.91 eV/f.u.